No. 1
The following is a DFT calculation (PBE-GGA) of PmNdLu2 after structural relaxation.

For the energy above the most stable polymorph in this dataset, the calculation gives 141 meV per atom. The value obtained for the formation enthalpy at 0 K is 0.164 eV per atom.

It has space group Fm-3m (No. 225), with a = 8.0222 Å, b = 8.0222 Å, c = 8.0222 Å, α = 90.00°, β = 90.00° and γ = 90.00°. The inequivalent atoms are Pm at (0.0000, 0.0000, 0.0000), Nd at (0.0000, 0.0000, 0.5000) and Lu at (0.2500, 0.2500, 0.2500).


No. 2
The following is a DFT calculation (PBE-GGA) of PmNd2Lu after structural relaxation.

For the energy above the most stable polymorph in this dataset, the calculation gives 9 meV per atom. The value obtained for the formation enthalpy at 0 K is 0.024 eV per atom.

It has space group P4/mmm (No. 123), with a = 3.6238 Å, b = 3.6238 Å, c = 10.1991 Å, α = 90.00°, β = 90.00° and γ = 90.00°. The inequivalent atoms are Pm at (0.0000, 0.0000, 0.0000), Nd at (0.5000, 0.5000, 0.2563) and Lu at (0.0000, 0.0000, 0.5000).


No. 3
The following is a DFT calculation (PBE-GGA) of PmPrNdLu after structural relaxation.

The value obtained for the formation enthalpy at 0 K is 0.119 eV per atom.

It has space group F-43m (No. 216), with a = 8.1567 Å, b = 8.1567 Å, c = 8.1567 Å, α = 90.00°, β = 90.00° and γ = 90.00°. The inequivalent atoms are Pm at (0.0000, 0.0000, 0.0000), Pr at (0.2500, 0.2500, 0.7500), Nd at (0.2500, 0.2500, 0.2500) and Lu at (0.0000, 0.0000, 0.5000).


No. 4
The following is a DFT calculation (PBE-GGA) of PmNdSmLu after structural relaxation.

The value obtained for the formation enthalpy at 0 K is 0.132 eV per atom.

It has space group F-43m (No. 216), with a = 8.1139 Å, b = 8.1139 Å, c = 8.1139 Å, α = 90.00°, β = 90.00° and γ = 90.00°. The inequivalent atoms are Pm at (0.0000, 0.0000, 0.0000), Nd at (0.2500, 0.2500, 0.7500), Sm at (0.2500, 0.2500, 0.2500) and Lu at (0.0000, 0.0000, 0.5000).


No. 5
The following is a DFT calculation (PBE-GGA) of PmNdLuTh after structural relaxation.

The value obtained for the formation enthalpy at 0 K is 0.155 eV per atom.

It has space group F-43m (No. 216), with a = 8.0782 Å, b = 8.0782 Å, c = 8.0782 Å, α = 90.00°, β = 90.00° and γ = 90.00°. The inequivalent atoms are Pm at (0.0000, 0.0000, 0.0000), Nd at (0.2500, 0.2500, 0.7500), Lu at (0.0000, 0.0000, 0.5000) and Th at (0.2500, 0.2500, 0.2500).


No. 6
The following is a DFT calculation (PBE-GGA) of Pr2NdLu after structural relaxation.

For the energy above the most stable polymorph in this dataset, the calculation gives 107 meV per atom. The value obtained for the formation enthalpy at 0 K is 0.120 eV per atom.

It has space group Fm-3m (No. 225), with a = 8.1908 Å, b = 8.1908 Å, c = 8.1908 Å, α = 90.00°, β = 90.00° and γ = 90.00°. The inequivalent atoms are Pr at (0.2500, 0.2500, 0.2500), Nd at (0.0000, 0.0000, 0.0000) and Lu at (0.0000, 0.0000, 0.5000).


No. 7
The following is a DFT calculation (PBE-GGA) of PrNdLu2 after structural relaxation.

For the energy above the most stable polymorph in this dataset, the calculation gives 0 meV per atom. The value obtained for the formation enthalpy at 0 K is 0.025 eV per atom.

It has space group R-3m (No. 166, hexagonal axes), with a = 3.5873 Å, b = 3.5873 Å, c = 34.5796 Å, α = 90.00°, β = 90.00° and γ = 120.00°. The inequivalent atoms are Pr at (0.0000, 0.0000, 0.0000), Nd at (0.0000, 0.0000, 0.5000) and Lu at (0.0000, 0.0000, 0.2497).


No. 8
The following is a DFT calculation (PBE-GGA) of Pr2NdLu after structural relaxation.

For the energy above the most stable polymorph in this dataset, the calculation gives 0 meV per atom. The value obtained for the formation enthalpy at 0 K is 0.014 eV per atom.

It has space group P4/mmm (No. 123), with a = 5.1507 Å, b = 5.1507 Å, c = 5.1294 Å, α = 90.00°, β = 90.00° and γ = 90.00°. The inequivalent atoms are Pr at (0.0000, 0.5000, 0.0000), Nd at (0.0000, 0.0000, 0.5000) and Lu at (0.5000, 0.5000, 0.5000).


No. 9
The following is a DFT calculation (PBE-GGA) of PrNd2Lu after structural relaxation.

For the energy above the most stable polymorph in this dataset, the calculation gives 120 meV per atom. The value obtained for the formation enthalpy at 0 K is 0.134 eV per atom.

It has space group Fm-3m (No. 225), with a = 8.1762 Å, b = 8.1762 Å, c = 8.1762 Å, α = 90.00°, β = 90.00° and γ = 90.00°. The inequivalent atoms are Pr at (0.0000, 0.0000, 0.0000), Nd at (0.2500, 0.2500, 0.2500) and Lu at (0.0000, 0.0000, 0.5000).


No. 10
The following is a DFT calculation (PBE-GGA) of PrNdLu2 after structural relaxation.

For the energy above the most stable polymorph in this dataset, the calculation gives 1 meV per atom. The value obtained for the formation enthalpy at 0 K is 0.026 eV per atom.

It has space group P4/mmm (No. 123), with a = 5.1246 Å, b = 5.1246 Å, c = 4.9222 Å, α = 90.00°, β = 90.00° and γ = 90.00°. The inequivalent atoms are Pr at (0.0000, 0.0000, 0.0000), Nd at (0.5000, 0.5000, 0.0000) and Lu at (0.0000, 0.5000, 0.5000).


No. 11
The following is a DFT calculation (PBE-GGA) of Pr2NdLu after structural relaxation.

For the energy above the most stable polymorph in this dataset, the calculation gives 83 meV per atom. The value obtained for the formation enthalpy at 0 K is 0.097 eV per atom.

It has space group P4/mmm (No. 123), with a = 4.2240 Å, b = 4.2240 Å, c = 7.6937 Å, α = 90.00°, β = 90.00° and γ = 90.00°. The inequivalent atoms are Pr at (0.0000, 0.0000, 0.2362), Nd at (0.5000, 0.5000, 0.5000) and Lu at (0.5000, 0.5000, 0.0000).


No. 12
The following is a DFT calculation (PBE-GGA) of PrNdLu2 after structural relaxation.

For the energy above the most stable polymorph in this dataset, the calculation gives 1 meV per atom. The value obtained for the formation enthalpy at 0 K is 0.026 eV per atom.

It has space group P4/mmm (No. 123), with a = 3.6357 Å, b = 3.6357 Å, c = 9.7974 Å, α = 90.00°, β = 90.00° and γ = 90.00°. The inequivalent atoms are Pr at (0.0000, 0.0000, 0.0000), Nd at (0.0000, 0.0000, 0.5000) and Lu at (0.5000, 0.5000, 0.2511).


No. 13
The following is a DFT calculation (PBE-GGA) of PrNd2Lu after structural relaxation.

For the energy above the most stable polymorph in this dataset, the calculation gives 12 meV per atom. The value obtained for the formation enthalpy at 0 K is 0.026 eV per atom.

It has space group P4/mmm (No. 123), with a = 3.6393 Å, b = 3.6393 Å, c = 10.2668 Å, α = 90.00°, β = 90.00° and γ = 90.00°. The inequivalent atoms are Pr at (0.0000, 0.0000, 0.0000), Nd at (0.5000, 0.5000, 0.2584) and Lu at (0.0000, 0.0000, 0.5000).


No. 14
The following is a DFT calculation (PBE-GGA) of PrNd2Lu after structural relaxation.

For the energy above the most stable polymorph in this dataset, the calculation gives 132 meV per atom. The value obtained for the formation enthalpy at 0 K is 0.146 eV per atom.

It has space group R-3m (No. 166, hexagonal axes), with a = 3.5399 Å, b = 3.5399 Å, c = 37.8986 Å, α = 90.00°, β = 90.00° and γ = 120.00°. The inequivalent atoms are Pr at (0.0000, 0.0000, 0.0000), Nd at (0.0000, 0.0000, 0.0909) and Lu at (0.0000, 0.0000, 0.5000).


No. 15
The following is a DFT calculation (PBE-GGA) of PrNd2Lu after structural relaxation.

For the energy above the most stable polymorph in this dataset, the calculation gives 0 meV per atom. The value obtained for the formation enthalpy at 0 K is 0.014 eV per atom.

It has space group P4/mmm (No. 123), with a = 5.1275 Å, b = 5.1275 Å, c = 5.1457 Å, α = 90.00°, β = 90.00° and γ = 90.00°. The inequivalent atoms are Pr at (0.0000, 0.0000, 0.0000), Nd at (0.0000, 0.5000, 0.5000) and Lu at (0.5000, 0.5000, 0.0000).


Computed values of total moment (unit: μB/f.u.) for the preceding records, in sequence: 0.17 0.00 0.00 0.00 0.00 0.00 0.00 0.00 0.00 0.00 0.00 0.00 0.00 0.00 0.00.